(1)
{
  "formula": "ErBeAl",
  "functional": "PBE",
  "state": "relaxed",
  "final_energy_ev_per_fu": -10.001,
  "lattice_angstrom": [[0.000, 3.259, 3.259], [3.259, 0.000, 3.259], [3.259, 3.259, 0.000]],
  "species": ["Er", "Be", "Al"],
  "fractional_positions": [[0.000, 0.000, 0.000], [0.250, 0.250, 0.250], [0.750, 0.750, 0.750]]
}

---

(2)
{
  "formula": "BeAl2Fe",
  "functional": "PBE",
  "state": "relaxed",
  "final_energy_ev_per_fu": -19.326,
  "lattice_angstrom": [[0.000, 2.872, 2.872], [2.872, 0.000, 2.872], [2.872, 2.872, 0.000]],
  "species": ["Be", "Al", "Al", "Fe"],
  "fractional_positions": [[0.000, 0.000, 0.000], [0.500, 0.500, 0.500], [0.750, 0.750, 0.750], [0.250, 0.250, 0.250]]
}

---

(3)
{
  "formula": "Be2AlFe2",
  "functional": "PBE",
  "state": "relaxed",
  "final_energy_ev_per_fu": -29.254,
  "lattice_angstrom": [[5.852, 0.000, 0.000], [0.000, 5.852, 0.000], [0.000, 0.000, 2.816]],
  "species": ["Be", "Be", "Be", "Be", "Al", "Al", "Fe", "Fe", "Fe", "Fe"],
  "fractional_positions": [[0.122, 0.378, 0.000], [0.378, 0.878, 0.000], [0.622, 0.122, 0.000], [0.878, 0.622, 0.000], [0.000, 0.000, 0.000], [0.500, 0.500, 0.000], [0.171, 0.671, 0.500], [0.329, 0.171, 0.500], [0.671, 0.829, 0.500], [0.829, 0.329, 0.500]]
}

---

(4)
{
  "formula": "LiBeAlFe",
  "functional": "PBE",
  "state": "relaxed",
  "final_energy_ev_per_fu": -17.700,
  "lattice_angstrom": [[0.000, 2.800, 2.800], [2.800, 0.000, 2.800], [2.800, 2.800, 0.000]],
  "species": ["Li", "Be", "Al", "Fe"],
  "fractional_positions": [[0.000, 0.000, 0.000], [0.750, 0.750, 0.750], [0.250, 0.250, 0.250], [0.500, 0.500, 0.500]]
}

---

(5)
{
  "formula": "LiBeAlFe",
  "functional": "PBE",
  "state": "relaxed",
  "final_energy_ev_per_fu": -17.375,
  "lattice_angstrom": [[0.000, 2.812, 2.812], [2.812, 0.000, 2.812], [2.812, 2.812, 0.000]],
  "species": ["Li", "Be", "Al", "Fe"],
  "fractional_positions": [[0.000, 0.000, 0.000], [0.500, 0.500, 0.500], [0.750, 0.750, 0.750], [0.250, 0.250, 0.250]]
}

---

(6)
{
  "formula": "LuBeAlFe",
  "functional": "PBE",
  "state": "relaxed",
  "final_energy_ev_per_fu": -20.108,
  "lattice_angstrom": [[0.000, 3.105, 3.105], [3.105, 0.000, 3.105], [3.105, 3.105, 0.000]],
  "species": ["Lu", "Be", "Al", "Fe"],
  "fractional_positions": [[0.000, 0.000, 0.000], [0.750, 0.750, 0.750], [0.250, 0.250, 0.250], [0.500, 0.500, 0.500]]
}

---

(7)
{
  "formula": "LuBeAlFe",
  "functional": "PBE",
  "state": "relaxed",
  "final_energy_ev_per_fu": -20.376,
  "lattice_angstrom": [[0.000, 3.080, 3.080], [3.080, 0.000, 3.080], [3.080, 3.080, 0.000]],
  "species": ["Lu", "Be", "Al", "Fe"],
  "fractional_positions": [[0.000, 0.000, 0.000], [0.250, 0.250, 0.250], [0.500, 0.500, 0.500], [0.750, 0.750, 0.750]]
}

---

(8)
{
  "formula": "BeAlFeMo",
  "functional": "PBE",
  "state": "relaxed",
  "final_energy_ev_per_fu": -27.148,
  "lattice_angstrom": [[0.000, 2.889, 2.889], [2.889, 0.000, 2.889], [2.889, 2.889, 0.000]],
  "species": ["Be", "Al", "Fe", "Mo"],
  "fractional_positions": [[0.000, 0.000, 0.000], [0.250, 0.250, 0.250], [0.500, 0.500, 0.500], [0.750, 0.750, 0.750]]
}

---

(9)
{
  "formula": "BeAlFeMo",
  "functional": "PBE",
  "state": "relaxed",
  "final_energy_ev_per_fu": -26.236,
  "lattice_angstrom": [[0.000, 2.933, 2.933], [2.933, 0.000, 2.933], [2.933, 2.933, 0.000]],
  "species": ["Be", "Al", "Fe", "Mo"],
  "fractional_positions": [[0.000, 0.000, 0.000], [0.500, 0.500, 0.500], [0.750, 0.750, 0.750], [0.250, 0.250, 0.250]]
}

---

(10)
{
  "formula": "BeAlFeNi",
  "functional": "PBE",
  "state": "relaxed",
  "final_energy_ev_per_fu": -21.884,
  "lattice_angstrom": [[0.000, 2.779, 2.779], [2.779, 0.000, 2.779], [2.779, 2.779, 0.000]],
  "species": ["Be", "Al", "Fe", "Ni"],
  "fractional_positions": [[0.000, 0.000, 0.000], [0.250, 0.250, 0.250], [0.500, 0.500, 0.500], [0.750, 0.750, 0.750]]
}

---

Number 2 is which compound? BeAl2Fe